Entry 1:
Ho2Er3Sc2: relaxed, PBE-GGA.

The space group is P2_1/c (14). The value obtained for the volume is 412 Å³/cell. The value obtained for the energy above the most stable polymorph in this dataset is 178 meV per atom. The value obtained for the formation energy is 1.504 eV per formula unit.

Cell: 6.3462 10.3552 6.2803 Å, 90.00 88.14 90.00°
With the nearest neighbours (Å) after each atom.
Fractional positions:
Er: 0.4792 0.9423 0.2538  3 Sc 3.30-3.55, 4 Er 3.33-3.67, 4 Ho 3.50-3.64
Sc: 0.4782 0.6461 0.4488  1 Sc 3.11, 2 Ho 3.13-3.30, 2 Er 3.20-3.30
Ho: 0.7488 0.7436 0.8592  2 Er 3.09-3.23, 2 Sc 3.13-3.30, 2 Ho 3.18
Er: 0.0208 0.4423 0.7462  3 Sc 3.30-3.55, 4 Er 3.33-3.67, 4 Ho 3.50-3.64
Er: 0.9792 0.5577 0.2538  3 Sc 3.30-3.55, 4 Er 3.33-3.67, 4 Ho 3.50-3.64
Sc: 0.9782 0.8539 0.4488  1 Sc 3.11, 2 Ho 3.13-3.30, 2 Er 3.20-3.30
Ho: 0.2512 0.2564 0.1408  2 Er 3.09-3.23, 2 Sc 3.13-3.30, 2 Ho 3.18
Ho: 0.7512 0.2436 0.1408  2 Er 3.09-3.23, 2 Sc 3.13-3.30, 2 Ho 3.18
Sc: 0.0218 0.1461 0.5512  1 Sc 3.11, 2 Ho 3.13-3.30, 2 Er 3.20-3.30
Er: 0.5208 0.0577 0.7462  3 Sc 3.30-3.55, 4 Er 3.33-3.67, 4 Ho 3.50-3.64
Er: 0.0000 0.0000 0.0000  4 Ho 3.09-3.23, 2 Sc 3.20
Er: 0.5000 0.5000 0.0000  4 Ho 3.09-3.23, 2 Sc 3.20
Ho: 0.2488 0.7564 0.8592  2 Er 3.09-3.23, 2 Sc 3.13-3.30, 2 Ho 3.18
Sc: 0.5218 0.3539 0.5512  1 Sc 3.11, 2 Ho 3.13-3.30, 2 Er 3.20-3.30


Entry 2:
Li2TbHo: relaxed, PBE-GGA.

The space group is Fm-3m (225). The value obtained for the volume is 102 Å³/cell. The value obtained for the energy above the most stable polymorph in this dataset is 2 meV per atom. The value obtained for the formation energy is 0.629 eV per formula unit.

Cell: 5.2431 5.2431 5.2431 Å, 60.00 60.00 60.00°
With the nearest neighbours (Å) after each atom.
Fractional positions:
Tb: 0.0000 0.0000 0.0000  8 Li 3.21
Ho: 0.5000 0.5000 0.5000  8 Li 3.21
Li: 0.7500 0.7500 0.7500  4 Ho 3.21, 4 Tb 3.21
Li: 0.2500 0.2500 0.2500  4 Tb 3.21, 4 Ho 3.21